# Tb2USb3

An optimized crystal structure of Tb2USb3 (GGA-PBE, Alexandria).

Output
The energy comes out at -6.31 eV/atom. The value obtained for the raw formation energy is -821 meV per atom.

Cell: 4.398 4.398 9.802 Å, 102.99 102.98 89.91°
Sites, in units of the cell vectors:
Sb  0.600  0.601  0.206
Sb  0.268  0.270  0.542
Sb  0.934  0.936  0.874
Tb  0.767  0.768  0.539
Tb  0.102  0.103  0.209
U  0.434  0.436  0.874

=====

# Mn2FeTc

An optimized crystal structure of Mn2FeTc (GGA-PBE, Alexandria).

Output
The energy comes out at -8.64 eV/atom. The formation energy comes out at 648 meV/atom.

Cell: 3.455 3.455 8.996 Å, 78.93 78.93 90.00°
Sites, in units of the cell vectors:
Mn  0.181  0.625  0.250
Mn  0.375  0.431  0.750
Mn  0.569  0.125  0.250
Mn  0.875  0.819  0.750
Fe  0.250  0.750  0.500
Fe  0.500  0.500  0.000
Tc  0.000  0.000  0.000
Tc  0.750  0.250  0.500

=====

# HoMgHgBi

An optimized crystal structure of HoMgHgBi (GGA-PBE, Alexandria).

Output
The energy comes out at -2.90 eV/atom. The formation energy comes out at -316 meV/atom.

Cell: 5.287 5.287 5.287 Å, 60.00 60.00 60.00°
Sites, in units of the cell vectors:
Mg  0.250  0.250  0.250
Hg  0.500  0.500  0.500
Bi  0.000  0.000  0.000
Ho  0.750  0.750  0.750

=====

Which value of energy does entry 2 give?
-8.64 eV/atom

=====

Among the records above, which one has the highest energy?
HoMgHgBi

=====

Which formula does entry 2 have?
Mn2FeTc

=====

Which of these has the lowest energy?
Mn2FeTc